Entry 1:
Ho2PdS | GGA-PBE | optimized geometry

## Properties
M_tot (μB per atom): 0.00
Relative energy among the computed polymorphs (kJ/mol of atoms): 0.0
N(E_F) (states/eV per atom): 0.534
Electronic total energy (eV/atom): -6.061

Unit cell a=3.827 b=22.711 c=3.999 alpha=90.00 beta=90.00 gamma=90.00
Space group Cmcm (No. 63)
Inequivalent atoms, fractional coordinates:
Ho  0.000  0.071  0.250
Ho  0.000  0.313  0.250
Pd  0.000  0.454  0.250
S  0.000  0.193  0.250

Entry 2:
RbLaPb2 | GGA-PBE | optimized geometry

## Properties
M_tot (μB per atom): 0.00
Relative energy among the computed polymorphs (kJ/mol of atoms): 0.0
N(E_F) (states/eV per atom): 0.972
Electronic total energy (eV/atom): -3.663

Unit cell a=4.359 b=4.359 c=8.243 alpha=90.00 beta=90.00 gamma=90.00
Space group P4/mmm (No. 123)
Inequivalent atoms, fractional coordinates:
Rb  0.000  0.000  0.000
La  0.000  0.000  0.500
Pb  0.500  0.500  0.311

Entry 3:
Li2MgH4Rh | GGA-PBE | optimized geometry

## Properties
M_tot (μB per atom): 0.00
N(E_F) (states/eV per atom): 0.078
Electronic total energy (eV/atom): -3.607

Unit cell a=2.965 b=10.037 c=10.184 alpha=90.00 beta=90.00 gamma=90.00
Space group Cmcm (No. 63)
Inequivalent atoms, fractional coordinates:
Li  0.000  0.131  0.036
Mg  0.000  0.451  0.250
H  0.000  0.130  0.250
H  0.000  0.262  0.588
H  0.000  0.500  0.000
Rh  0.000  0.270  0.750

Entry 4:
PrNdP | GGA-PBE | optimized geometry

## Properties
M_tot (μB per atom): 0.00
N(E_F) (states/eV per atom): 0.697
Electronic total energy (eV/atom): -5.849

Unit cell a=4.9059 b=4.9059 c=24.0195 alpha=90.00 beta=90.00 gamma=120.00
Space group R-3m (No. 166, hexagonal axes)
Inequivalent atoms, fractional coordinates:
Pr  0.0000  0.0000  0.1251
Nd  0.0000  0.0000  0.3752
P  0.0000  0.0000  0.2511

Question: Which of these has the lowest N(E_F)?
Answer: Li2MgH4Rh